1.
# SmHo5P6 (PBE-GGA, relaxed)
data_SmHo5P6
_cell_length_a 6.9443
_cell_length_b 12.0232
_cell_length_c 6.9419
_cell_angle_alpha 90.00
_cell_angle_beta 109.49
_cell_angle_gamma 90.00
_symmetry_space_group_name_H-M 'C 1 2/m 1'
_symmetry_Int_Tables_number 12
_symmetry_space_group_name_Hall '-C 2y'
loop_
_atom_site_label
_atom_site_type_symbol
_atom_site_fract_x
_atom_site_fract_y
_atom_site_fract_z
_atom_site_occupancy
Sm1 Sm 0.0000 0.0000 0.0000 1
Ho1 Ho 0.0000 0.1659 0.5000 1
Ho2 Ho 0.0000 0.3331 0.0000 1
Ho3 Ho 0.0000 0.5000 0.5000 1
P1 P 0.2472 0.3314 0.7474 1
P2 P 0.2467 0.5000 0.2521 1
# Crystal system ... monoclinic
# Formation energy from the elements ... -1.60 eV/atom
# Total moment ... 0.0 μB/f.u.

---

2.
# TbGa4Rh4 (PBE-GGA, relaxed)
data_TbGa4Rh4
_cell_length_a 8.1274
_cell_length_b 8.1274
_cell_length_c 4.9135
_cell_angle_alpha 90.00
_cell_angle_beta 90.00
_cell_angle_gamma 90.00
_symmetry_space_group_name_H-M 'P 42/n'
_symmetry_Int_Tables_number 86
loop_
_symmetry_equiv_pos_as_xyz
'x,y,z'
'-x,-y,-z'
'-y,x+1/2,z+1/2'
'y,-x+1/2,-z+1/2'
'-x+1/2,-y+1/2,z'
'x+1/2,y+1/2,-z'
'y+1/2,-x,z+1/2'
'-y+1/2,x,-z+1/2'
loop_
_atom_site_label
_atom_site_type_symbol
_atom_site_fract_x
_atom_site_fract_y
_atom_site_fract_z
_atom_site_occupancy
Tb1 Tb 0.2500 0.2500 0.2500 1
Ga1 Ga 0.0532 0.8939 0.1695 1
Rh1 Rh 0.1038 0.8676 0.6566 1
# Crystal system ... tetragonal
# Formation energy from the elements ... -0.57 eV/atom
# Total moment ... 0.0 μB/f.u.

---

3.
# KRh2W (PBE-GGA, relaxed)
data_KRh2W
_cell_length_a 2.7477
_cell_length_b 4.9367
_cell_length_c 10.7111
_cell_angle_alpha 90.00
_cell_angle_beta 90.00
_cell_angle_gamma 90.00
_symmetry_space_group_name_H-M 'I m m 2'
_symmetry_Int_Tables_number 44
_symmetry_space_group_name_Hall 'I 2 -2'
loop_
_atom_site_label
_atom_site_type_symbol
_atom_site_fract_x
_atom_site_fract_y
_atom_site_fract_z
_atom_site_occupancy
K1 K 0.0000 0.0000 0.0000 1
Rh1 Rh 0.0000 0.0000 0.5076 1
Rh2 Rh 0.0000 0.5000 0.7824 1
W1 W 0.0000 0.5000 0.2128 1
# Crystal system ... orthorhombic
# Formation energy from the elements ... 0.74 eV/atom
# Total moment ... 0.0 μB/f.u.